DFT (GGA-PBEsol) results for a geometry-optimized CuRe2Se structure.

The calculation puts the uncorrected formation energy at 506 meV/atom. The value obtained for the total energy is -65.65 eV per cell. As for the total moment: 0.0 Bohr magnetons per cell.

The structure belongs to space group Cm (No. 8); the cell edges are 8.862, 2.971 and 4.467 Å and the angles 90.00°, 106.98° and 90.00°. The distinct sites, in fractional coordinates, are Cu at (0.000, 0.000, 0.000), Re at (0.003, 0.500, 0.517), Re at (0.255, 0.000, 0.848) and Se at (0.248, 0.500, 0.291).